Record 1
Density functional theory data (PBE-GGA) for MgZn2Ir after structural relaxation.

crystal system = tetragonal
DOS(E_F) = 1.5 states/eV per cell
volume = 59.7 Å³/f.u.
uncorrected energy = -3.511 eV/atom

Unit cell a=4.9180 b=4.9180 c=4.9180 alpha=134.45 beta=134.45 gamma=66.39
Atoms (fractional coordinates):
Mg: 0.0000 0.0000 0.0000
Zn: 0.2500 0.7500 0.5000
Zn: 0.5000 0.5000 0.0000
Ir: 0.7500 0.2500 0.5000

***

Record 2
Density functional theory data (PBE-GGA) for Mg6Zn2Ir after structural relaxation.

crystal system = monoclinic
DOS(E_F) = 2.4 states/eV per cell
volume = 166.6 Å³/f.u.
energy above the most stable polymorph in this dataset = 0 meV/atom

Unit cell a=5.0538 b=5.0538 c=8.7263 alpha=103.60 beta=103.60 gamma=50.73
Atoms (fractional coordinates):
Mg: 0.0129 0.0129 0.1926
Mg: 0.3210 0.3210 0.5965
Mg: 0.3324 0.3324 0.9501
Mg: 0.6676 0.6676 0.0499
Mg: 0.6790 0.6790 0.4035
Mg: 0.9871 0.9871 0.8074
Zn: 0.3628 0.3628 0.2985
Zn: 0.6372 0.6372 0.7015
Ir: 0.0000 0.0000 0.5000

***

Record 3
Density functional theory data (PBE-GGA) for Mg4Zn3Ir after structural relaxation.

crystal system = orthorhombic
DOS(E_F) = 6.9 states/eV per cell
volume = 135.7 Å³/f.u.
uncorrected energy = -2.562 eV/atom

Unit cell a=9.1564 b=6.0411 c=4.9065 alpha=90.00 beta=90.00 gamma=90.00
Atoms (fractional coordinates):
Mg: 0.0000 0.2374 0.0000
Mg: 0.0000 0.7626 0.0000
Mg: 0.2500 0.2420 0.3796
Mg: 0.2500 0.7580 0.3796
Mg: 0.5000 0.2374 0.0000
Mg: 0.5000 0.7626 0.0000
Mg: 0.7500 0.2420 0.6204
Mg: 0.7500 0.7580 0.6204
Zn: 0.0000 0.5000 0.5000
Zn: 0.2500 0.0000 0.8384
Zn: 0.2500 0.5000 0.8685
Zn: 0.5000 0.5000 0.5000
Zn: 0.7500 0.0000 0.1616
Zn: 0.7500 0.5000 0.1315
Ir: 0.0000 0.0000 0.5000
Ir: 0.5000 0.0000 0.5000

***

Record 4
Density functional theory data (PBE-GGA) for MgZnIr after structural relaxation.

crystal system = trigonal
DOS(E_F) = 2.5 states/eV per cell
volume = 47.6 Å³/f.u.
uncorrected energy = -4.158 eV/atom

Unit cell a=4.3433 b=4.3433 c=2.9146 alpha=90.00 beta=90.00 gamma=120.00
Atoms (fractional coordinates):
Mg: 0.0000 0.0000 0.0000
Zn: 0.6667 0.3333 0.4842
Ir: 0.3333 0.6667 0.5058

***

Record 5
Density functional theory data (PBE-GGA) for Mg3Zn3Ir2 after structural relaxation.

crystal system = trigonal
DOS(E_F) = 4.3 states/eV per cell
volume = 125.5 Å³/f.u.
uncorrected energy = -3.490 eV/atom

Unit cell a=5.0114 b=5.0114 c=5.0114 alpha=92.39 beta=92.39 gamma=92.39
Atoms (fractional coordinates):
Mg: 0.0000 0.7514 0.2486
Mg: 0.2486 0.0000 0.7514
Mg: 0.7514 0.2486 0.0000
Zn: 0.2201 0.5000 0.7799
Zn: 0.5000 0.7799 0.2201
Zn: 0.7799 0.2201 0.5000
Ir: 0.2792 0.2792 0.2792
Ir: 0.7208 0.7208 0.7208

***

Record 6
Density functional theory data (PBE-GGA) for MgZn3Ir after structural relaxation.

crystal system = monoclinic
DOS(E_F) = 3.1 states/eV per cell
volume = 81.3 Å³/f.u.
energy above the most stable polymorph in this dataset = 0 meV/atom

Unit cell a=4.8059 b=5.2087 c=6.4996 alpha=90.00 beta=90.94 gamma=90.00
Atoms (fractional coordinates):
Mg: 0.1465 0.2500 0.2653
Mg: 0.8535 0.7500 0.7347
Zn: 0.3452 0.7500 0.4743
Zn: 0.3511 0.0103 0.8270
Zn: 0.3511 0.4897 0.8270
Zn: 0.6489 0.5103 0.1730
Zn: 0.6489 0.9897 0.1730
Zn: 0.6548 0.2500 0.5257
Ir: 0.1286 0.7500 0.1267
Ir: 0.8714 0.2500 0.8733

***

Record 7
Density functional theory data (PBE-GGA) for Mg3Zn4Ir after structural relaxation.

crystal system = tetragonal
DOS(E_F) = 2.2 states/eV per cell
volume = 129.7 Å³/f.u.
uncorrected energy = -2.505 eV/atom

Unit cell a=7.2170 b=7.2170 c=7.2170 alpha=143.91 beta=143.91 gamma=51.96
Atoms (fractional coordinates):
Mg: 0.0000 0.0000 0.0000
Mg: 0.2619 0.2619 0.0000
Mg: 0.7381 0.7381 0.0000
Zn: 0.1160 0.6160 0.5000
Zn: 0.3840 0.8840 0.5000
Zn: 0.6160 0.1160 0.5000
Zn: 0.8840 0.3840 0.5000
Ir: 0.5000 0.5000 0.0000

***

Record 8
Density functional theory data (PBE-GGA) for MgZr2Ir9 after structural relaxation.

crystal system = tetragonal
DOS(E_F) = 12.5 states/eV per cell
volume = 186.2 Å³/f.u.
uncorrected energy = -8.711 eV/atom

Unit cell a=3.9733 b=3.9733 c=11.7954 alpha=90.00 beta=90.00 gamma=90.00
Atoms (fractional coordinates):
Mg: 0.0000 0.0000 0.0000
Zr: 0.0000 0.0000 0.3291
Zr: 0.0000 0.0000 0.6709
Ir: 0.0000 0.5000 0.1613
Ir: 0.0000 0.5000 0.5000
Ir: 0.0000 0.5000 0.8387
Ir: 0.5000 0.0000 0.1613
Ir: 0.5000 0.0000 0.5000
Ir: 0.5000 0.0000 0.8387
Ir: 0.5000 0.5000 0.0000
Ir: 0.5000 0.5000 0.3325
Ir: 0.5000 0.5000 0.6675